# 1
Material: BeReS2Cl
Method: DFT, GGA-PBE
State: relaxed

Magnetization, μB per cell: 0.58
Total DFT energy (no corrections), eV/cell: -21.859
SG: No. 123

Lattice parameters (Å, degrees): 4.288 4.288 4.101 90.00 90.00 90.00
Sites, in units of the cell vectors:
Be 0.000 0.000 0.000
Cl 0.000 0.000 0.500
S 0.000 0.500 0.000
S 0.500 0.000 0.000
Re 0.500 0.500 0.500

=====

# 2
Material: BeReS2Cl
Method: DFT, GGA-PBE
State: relaxed

Magnetization, μB per cell: 0.00
Total DFT energy (no corrections), eV/cell: -23.120
SG: No. 123

Lattice parameters (Å, degrees): 4.553 4.553 5.072 90.00 90.00 90.00
Sites, in units of the cell vectors:
Cl 0.000 0.000 0.500
Be 0.500 0.500 0.500
Re 0.000 0.000 0.000
S 0.000 0.500 0.000
S 0.500 0.000 0.000

=====

# 3
Material: BeReSCl2
Method: DFT, GGA-PBE
State: relaxed

Magnetization, μB per cell: 4.72
Total DFT energy (no corrections), eV/cell: -21.270
SG: No. 123

Lattice parameters (Å, degrees): 4.097 4.097 5.743 90.00 90.00 90.00
Sites, in units of the cell vectors:
Cl 0.000 0.500 0.000
Cl 0.500 0.000 0.000
Re 0.500 0.500 0.500
Be 0.000 0.000 0.000
S 0.000 0.000 0.500

=====

# 4
Material: BeReSCl2
Method: DFT, GGA-PBE
State: relaxed

Magnetization, μB per cell: 0.79
Total DFT energy (no corrections), eV/cell: -20.911
SG: No. 123

Lattice parameters (Å, degrees): 4.910 4.910 4.503 90.00 90.00 90.00
Sites, in units of the cell vectors:
Re 0.000 0.000 0.000
Be 0.500 0.500 0.500
Cl 0.000 0.500 0.000
Cl 0.500 0.000 0.000
S 0.000 0.000 0.500

=====

# 5
Material: ScBeReCl2
Method: DFT, GGA-PBE
State: relaxed

Magnetization, μB per cell: 0.00
Total DFT energy (no corrections), eV/cell: -23.018
SG: No. 123

Lattice parameters (Å, degrees): 4.707 4.441 4.707 90.00 90.00 90.00
Sites, in units of the cell vectors:
Cl 0.000 0.000 0.500
Cl 0.500 0.000 0.000
Re 0.000 0.000 0.000
Be 0.000 0.500 0.000
Sc 0.500 0.500 0.500

=====

# 6
Material: BeReSe2Cl
Method: DFT, GGA-PBE
State: relaxed

Magnetization, μB per cell: 0.00
Total DFT energy (no corrections), eV/cell: -19.391
SG: No. 123

Lattice parameters (Å, degrees): 4.370 4.658 4.370 90.00 90.00 90.00
Sites, in units of the cell vectors:
Re 0.000 0.500 0.000
Se 0.500 0.000 0.000
Se 0.000 0.000 0.500
Cl 0.500 0.500 0.500
Be 0.000 0.000 0.000